Entry 1:
Material: Dy4ScS4
Method: DFT, PBE-GGA
State: relaxed

Properties
formation energy from raw total energies = -1731 meV/atom
spin magnetization = 0.00 μB per cell
total DFT energy (no corrections) = -0.232 hartree per atom
volume = 21.96 Å³/atom

```
data_Dy4ScS4
_chemical_formula_sum 'Dy8 Sc2 S8'
_cell_length_a 12.737
_cell_length_b 3.831
_cell_length_c 9.341
_cell_angle_alpha 90.00
_cell_angle_beta 119.86
_cell_angle_gamma 90.00
_space_group_name_H-M_alt 'C 1 2/m 1'
_space_group_IT_number 12
loop_
_space_group_symop_operation_xyz
'x,y,z'
'-x,-y,-z'
'-x,y,-z'
'x,-y,z'
'x+1/2,y+1/2,z'
'-x+1/2,-y+1/2,-z'
'-x+1/2,y+1/2,-z'
'x+1/2,-y+1/2,z'
loop_
_atom_site_label
_atom_site_fract_x
_atom_site_fract_y
_atom_site_fract_z
_atom_site_occupancy
Dy1 0.100 0.000 0.401 1
Dy2 0.198 0.500 0.796 1
Sc1 0.000 0.500 0.000 1
S1 0.097 0.000 0.908 1
S2 0.195 0.500 0.295 1
```

***

Entry 2:
Material: IrPtSN2
Method: DFT, PBE-GGA
State: relaxed

Properties
formation energy from raw total energies = 1549 meV/atom
spin magnetization = 0.00 μB per cell
total DFT energy (no corrections) = -0.205 hartree per atom
volume = 22.40 Å³/atom

```
data_IrPtSN2
_chemical_formula_sum 'Ir1 Pt1 S1 N2'
_cell_length_a 3.623
_cell_length_b 3.623
_cell_length_c 8.533
_cell_angle_alpha 90.00
_cell_angle_beta 90.00
_cell_angle_gamma 90.00
_space_group_name_H-M_alt 'P 4/m m m'
_space_group_IT_number 123
_space_group_name_Hall '-P 4 2'
loop_
_atom_site_label
_atom_site_fract_x
_atom_site_fract_y
_atom_site_fract_z
_atom_site_occupancy
Ir1 0.000 0.000 0.000 1
Pt1 0.500 0.500 0.500 1
S1 0.500 0.500 0.000 1
N1 0.000 0.500 0.500 1
```

***

Entry 3:
Material: HfBeRu2
Method: DFT, PBE-GGA
State: relaxed

Properties
energy of formation = 0.1643 eV per atom
spin magnetization = 0.00 μB per cell
total DFT energy (no corrections) = -0.290 hartree per atom
volume = 16.23 Å³/atom

```
data_HfBeRu2
_chemical_formula_sum 'Hf4 Be4 Ru8'
_cell_length_a 3.965
_cell_length_b 3.965
_cell_length_c 16.513
_cell_angle_alpha 90.00
_cell_angle_beta 90.00
_cell_angle_gamma 90.00
_space_group_name_H-M_alt 'I -4 2 d'
_space_group_IT_number 122
_space_group_name_Hall 'I -4 2bw'
loop_
_atom_site_label
_atom_site_fract_x
_atom_site_fract_y
_atom_site_fract_z
_atom_site_occupancy
Hf1 0.000 0.000 0.000 1
Be1 0.000 0.000 0.500 1
Ru1 0.178 0.250 0.625 1
```

***

Entry 4:
Material: In2Rh
Method: DFT, PBE-GGA
State: relaxed

Properties
energy of formation = -0.2061 eV per atom
spin magnetization = 0.00 μB per cell
total DFT energy (no corrections) = -0.165 hartree per atom
volume = 20.14 Å³/atom

```
data_In2Rh
_chemical_formula_sum 'In8 Rh4'
_cell_length_a 12.409
_cell_length_b 3.555
_cell_length_c 5.721
_cell_angle_alpha 90.00
_cell_angle_beta 106.79
_cell_angle_gamma 90.00
_space_group_name_H-M_alt 'C 1 2/m 1'
_space_group_IT_number 12
loop_
_space_group_symop_operation_xyz
'x,y,z'
'-x,-y,-z'
'-x,y,-z'
'x,-y,z'
'x+1/2,y+1/2,z'
'-x+1/2,-y+1/2,-z'
'-x+1/2,y+1/2,-z'
'x+1/2,-y+1/2,z'
loop_
_atom_site_label
_atom_site_fract_x
_atom_site_fract_y
_atom_site_fract_z
_atom_site_occupancy
In1 0.004 0.000 0.257 1
In2 0.200 0.500 0.665 1
Rh1 0.136 0.500 0.091 1
```

***

Entry 5:
Material: SrY2Zr2
Method: DFT, PBE-GGA
State: relaxed

Properties
energy of formation = 0.2223 eV per atom
spin magnetization = 0.00 μB per cell
total DFT energy (no corrections) = -0.225 hartree per atom
volume = 31.30 Å³/atom

```
data_SrY2Zr2
_chemical_formula_sum 'Sr2 Y4 Zr4'
_cell_length_a 9.407
_cell_length_b 9.407
_cell_length_c 3.537
_cell_angle_alpha 90.00
_cell_angle_beta 90.00
_cell_angle_gamma 90.00
_space_group_name_H-M_alt 'P 4/m b m'
_space_group_IT_number 127
_space_group_name_Hall '-P 4 2ab'
loop_
_atom_site_label
_atom_site_fract_x
_atom_site_fract_y
_atom_site_fract_z
_atom_site_occupancy
Sr1 0.000 0.000 0.000 1
Y1 0.179 0.321 0.500 1
Zr1 0.109 0.609 0.000 1
```

***

Entry 6:
Material: HPt2I
Method: DFT, PBE-GGA
State: relaxed

Properties
spin magnetization = 0.00 μB per cell
total DFT energy (no corrections) = -0.119 hartree per atom
volume = 16.34 Å³/atom

```
data_HPt2I
_chemical_formula_sum 'H4 Pt8 I4'
_cell_length_a 6.394
_cell_length_b 6.394
_cell_length_c 6.394
_cell_angle_alpha 90.00
_cell_angle_beta 90.00
_cell_angle_gamma 90.00
_space_group_name_H-M_alt 'F m -3 m'
_space_group_IT_number 225
_space_group_name_Hall '-F 4 2 3'
loop_
_atom_site_label
_atom_site_fract_x
_atom_site_fract_y
_atom_site_fract_z
_atom_site_occupancy
H1 0.000 0.000 0.000 1
Pt1 0.250 0.250 0.250 1
I1 0.000 0.000 0.500 1
```

***

Entry 7:
Material: FeMo3I
Method: DFT, PBE-GGA
State: relaxed

Properties
formation energy from raw total energies = 1390 meV/atom
spin magnetization = 0.00 μB per cell
total DFT energy (no corrections) = -0.261 hartree per atom
volume = 19.03 Å³/atom

```
data_FeMo3I
_chemical_formula_sum 'Fe1 Mo3 I1'
_cell_length_a 4.565
_cell_length_b 4.565
_cell_length_c 4.565
_cell_angle_alpha 90.00
_cell_angle_beta 90.00
_cell_angle_gamma 90.00
_space_group_name_H-M_alt 'P m -3 m'
_space_group_IT_number 221
_space_group_name_Hall '-P 4 2 3'
loop_
_atom_site_label
_atom_site_fract_x
_atom_site_fract_y
_atom_site_fract_z
_atom_site_occupancy
Fe1 0.000 0.000 0.000 1
Mo1 0.000 0.000 0.500 1
I1 0.500 0.500 0.500 1
```

***

Entry 8:
Material: YTa2Ni2
Method: DFT, PBE-GGA
State: relaxed

Properties
energy of formation = -0.0816 eV per atom
spin magnetization = 0.00 μB per cell
total DFT energy (no corrections) = -0.310 hartree per atom
volume = 18.25 Å³/atom

```
data_YTa2Ni2
_chemical_formula_sum 'Y2 Ta4 Ni4'
_cell_length_a 4.100
_cell_length_b 4.100
_cell_length_c 10.854
_cell_angle_alpha 90.00
_cell_angle_beta 90.00
_cell_angle_gamma 90.00
_space_group_name_H-M_alt 'I 4/m m m'
_space_group_IT_number 139
_space_group_name_Hall '-I 4 2'
loop_
_atom_site_label
_atom_site_fract_x
_atom_site_fract_y
_atom_site_fract_z
_atom_site_occupancy
Y1 0.000 0.000 0.000 1
Ta1 0.000 0.500 0.250 1
Ni1 0.000 0.000 0.392 1
```

***

Entry 9:
Material: K3Nd2InO6
Method: DFT, PBE-GGA
State: relaxed

Properties
formation energy from raw total energies = -2223 meV/atom
spin magnetization = 0.00 μB per cell
total DFT energy (no corrections) = -0.220 hartree per atom
volume = 17.18 Å³/atom

```
data_K3Nd2InO6
_chemical_formula_sum 'K6 Nd4 In2 O12'
_cell_length_a 6.147
_cell_length_b 10.653
_cell_length_c 6.619
_cell_angle_alpha 90.00
_cell_angle_beta 107.92
_cell_angle_gamma 90.00
_space_group_name_H-M_alt 'C 1 2/m 1'
_space_group_IT_number 12
loop_
_space_group_symop_operation_xyz
'x,y,z'
'-x,-y,-z'
'-x,y,-z'
'x,-y,z'
'x+1/2,y+1/2,z'
'-x+1/2,-y+1/2,-z'
'-x+1/2,y+1/2,-z'
'x+1/2,-y+1/2,z'
loop_
_atom_site_label
_atom_site_fract_x
_atom_site_fract_y
_atom_site_fract_z
_atom_site_occupancy
K1 0.000 0.000 0.000 1
K2 0.000 0.338 0.000 1
Nd1 0.000 0.167 0.500 1
In1 0.000 0.500 0.500 1
O1 0.224 0.340 0.692 1
O2 0.243 0.000 0.690 1
```

***

Entry 10:
Material: Cd2Ag4F9
Method: DFT, PBE-GGA
State: relaxed

Properties
formation energy from raw total energies = -1478 meV/atom
spin magnetization = 2.20 μB per cell
total DFT energy (no corrections) = -0.128 hartree per atom
volume = 16.46 Å³/atom

```
data_Cd2Ag4F9
_chemical_formula_sum 'Cd4 Ag8 F18'
_cell_length_a 5.985
_cell_length_b 5.992
_cell_length_c 15.756
_cell_angle_alpha 87.93
_cell_angle_beta 88.00
_cell_angle_gamma 61.03
_space_group_name_H-M_alt 'P -1'
_space_group_IT_number 2
loop_
_space_group_symop_operation_xyz
'x,y,z'
'-x,-y,-z'
loop_
_atom_site_label
_atom_site_fract_x
_atom_site_fract_y
_atom_site_fract_z
_atom_site_occupancy
Cd1 0.009 0.480 0.355 1
Cd2 0.021 0.491 0.145 1
Ag1 0.319 0.855 0.691 1
Ag2 0.327 0.846 0.984 1
Ag3 0.346 0.828 0.484 1
Ag4 0.356 0.820 0.191 1
F1 0.020 0.844 0.579 1
F2 0.030 0.757 0.249 1
F3 0.050 0.158 0.079 1
F4 0.257 0.529 0.750 1
F5 0.286 0.216 0.250 1
F6 0.334 0.164 0.901 1
F7 0.335 0.166 0.599 1
F8 0.341 0.450 0.422 1
F9 0.342 0.521 0.078 1
```

***

Entry 11:
Material: Ta3CdGa
Method: DFT, PBE-GGA
State: relaxed

Properties
energy of formation = 2.1045 eV per atom
spin magnetization = 0.00 μB per cell
total DFT energy (no corrections) = -0.213 hartree per atom
volume = 24.18 Å³/atom

```
data_Ta3CdGa
_chemical_formula_sum 'Ta3 Cd1 Ga1'
_cell_length_a 4.944
_cell_length_b 4.944
_cell_length_c 4.944
_cell_angle_alpha 90.00
_cell_angle_beta 90.00
_cell_angle_gamma 90.00
_space_group_name_H-M_alt 'P m -3 m'
_space_group_IT_number 221
_space_group_name_Hall '-P 4 2 3'
loop_
_atom_site_label
_atom_site_fract_x
_atom_site_fract_y
_atom_site_fract_z
_atom_site_occupancy
Ta1 0.000 0.000 0.500 1
Cd1 0.000 0.000 0.000 1
Ga1 0.500 0.500 0.500 1
```

***

Entry 12:
Material: LiMgO2
Method: DFT, PBE-GGA
State: relaxed

Properties
formation energy from raw total energies = -1702 meV/atom
spin magnetization = 4.00 μB per cell
total DFT energy (no corrections) = -0.186 hartree per atom
volume = 11.43 Å³/atom

```
data_LiMgO2
_chemical_formula_sum 'Li4 Mg4 O8'
_cell_length_a 4.181
_cell_length_b 4.181
_cell_length_c 10.458
_cell_angle_alpha 90.00
_cell_angle_beta 90.00
_cell_angle_gamma 90.00
_space_group_name_H-M_alt 'I -4 2 d'
_space_group_IT_number 122
_space_group_name_Hall 'I -4 2bw'
loop_
_atom_site_label
_atom_site_fract_x
_atom_site_fract_y
_atom_site_fract_z
_atom_site_occupancy
Li1 0.000 0.000 0.000 1
Mg1 0.000 0.000 0.500 1
O1 0.248 0.250 0.125 1
```